V2FeReHg | PBE | relaxed

Cell lengths 4.8891, 4.9900, 4.8891 Å; angles 90.00, 90.00, 90.00 degrees
Last column: magnetic moment on the atom in μB.
Element x y z (fractional)
Re 0.0000 0.5000 0.0000  -2.22
V 0.0000 0.0000 0.5000  2.51
V 0.5000 0.0000 0.0000  2.55
Hg 0.0000 0.0000 0.0000  0.09
Fe 0.5000 0.5000 0.5000  0.31

## Properties
Spin magnetization (μB/atom): 0.82
Total DFT energy (no corrections) (eV/atom): -5.18
Volume (Å³/f.u.): 119.28
Mass density (Mg/m³): 7.6

***

PrScTiPt2 | PBE | relaxed

Cell lengths 4.4594, 4.4594, 6.2981 Å; angles 110.73, 110.73, 90.00 degrees
Element x y z (fractional)
Pr 0.0000 0.0000 0.0000
Sc 0.7500 0.2500 0.5000
Ti 0.2500 0.7500 0.5000
Pt 0.6222 0.6222 0.2445
Pt 0.3778 0.3778 0.7555

## Properties
Spin magnetization (μB/atom): 0.00
Total DFT energy (no corrections) (eV/atom): -7.15
Volume (Å³/f.u.): 108.42
Mass density (Mg/m³): 9.6

***

Nd2Sm5HoEr | PBE | relaxed

Cell lengths 8.6140, 8.6140, 10.2120 Å; angles 114.95, 114.95, 90.00 degrees
Element x y z (fractional)
Nd 0.1204 0.3796 0.0000
Nd 0.6204 0.1204 0.0000
Nd 0.3796 0.8796 0.0000
Nd 0.8796 0.6204 0.0000
Sm 0.9266 0.4266 0.2850
Sm 0.6416 0.1416 0.7150
Sm 0.0734 0.5734 0.7150
Sm 0.1416 0.0734 0.7150
Sm 0.5734 0.6416 0.7150
Sm 0.8584 0.9266 0.2850
Sm 0.4266 0.3584 0.2850
Sm 0.3584 0.8584 0.2850
Sm 0.5000 0.5000 0.0000
Sm 0.0000 0.0000 0.0000
Ho 0.2500 0.2500 0.5000
Ho 0.7500 0.7500 0.5000
Er 0.2500 0.7500 0.5000
Er 0.7500 0.2500 0.5000

## Properties
Spin magnetization (μB/atom): 0.00
Total DFT energy (no corrections) (eV/atom): -4.42
Volume (Å³/f.u.): 304.10
Mass density (Mg/m³): 7.5

***

Question: Among the records above, which one has the highest spin magnetization?
Answer: V2FeReHg

***

Question: The highest mass density belongs to which entry?
Answer: PrScTiPt2

***

Question: Which value of total DFT energy (no corrections) does entry 2 give?
Answer: -7.15 eV/atom

***

Question: Look up the spin magnetization of the first one.
Answer: 0.82 μB/atom